# LiLa2Lu | Alexandria via LeMat-Bulk | PBE | optimized geometry
# Fermi-level density of states in states/eV/atom: 1.12
# ΔE_f in meV per atom: 118
# E in eV/atom: -3.95
data_LiLa2Lu
_chemical_formula_sum 'Li4 La8 Lu4'
_cell_length_a 7.977
_cell_length_b 7.977
_cell_length_c 7.977
_cell_angle_alpha 90.00
_cell_angle_beta 90.00
_cell_angle_gamma 90.00
_space_group_name_H-M_alt 'F m -3 m'
_space_group_IT_number 225
_space_group_name_Hall '-F 4 2 3'
loop_
_atom_site_label
_atom_site_type_symbol
_atom_site_fract_x
_atom_site_fract_y
_atom_site_fract_z
_atom_site_occupancy
Li1 Li 0.000 0.000 0.000 1
La1 La 0.250 0.250 0.250 1
Lu1 Lu 0.000 0.000 0.500 1

# MoOs8 | Alexandria via LeMat-Bulk | PBE | optimized geometry
# Fermi-level density of states in states/eV/atom: 0.99
# ΔE_f in meV per atom: 115
# E in eV/atom: -11.07
data_MoOs8
_chemical_formula_sum 'Mo2 Os16'
_cell_length_a 8.226
_cell_length_b 8.226
_cell_length_c 3.858
_cell_angle_alpha 90.00
_cell_angle_beta 90.00
_cell_angle_gamma 90.00
_space_group_name_H-M_alt 'I 4/m m m'
_space_group_IT_number 139
_space_group_name_Hall '-I 4 2'
loop_
_atom_site_label
_atom_site_type_symbol
_atom_site_fract_x
_atom_site_fract_y
_atom_site_fract_z
_atom_site_occupancy
Mo1 Mo 0.000 0.000 0.000 1
Os1 Os 0.000 0.334 0.000 1
Os2 Os 0.169 0.169 0.500 1

# Na2Pb3 | Alexandria via LeMat-Bulk | PBE | optimized geometry
# Fermi-level density of states in states/eV/atom: 0.33
# ΔE_f in meV per atom: -126
# E in eV/atom: -2.88
data_Na2Pb3
_chemical_formula_sum 'Na8 Pb12'
_cell_length_a 11.745
_cell_length_b 6.169
_cell_length_c 8.847
_cell_angle_alpha 90.00
_cell_angle_beta 112.61
_cell_angle_gamma 90.00
_space_group_name_H-M_alt 'C 1 2/c 1'
_space_group_IT_number 15
_space_group_name_Hall '-C 2yc'
loop_
_atom_site_label
_atom_site_type_symbol
_atom_site_fract_x
_atom_site_fract_y
_atom_site_fract_z
_atom_site_occupancy
Na1 Na 0.199 0.156 0.147 1
Pb1 Pb 0.000 0.170 0.750 1
Pb2 Pb 0.097 0.332 0.446 1